This record from Alexandria via LeMat-Bulk describes a relaxed Tc2TeW crystal. The functional is PBE.

The calculation puts the theoretical density at 12.831 g cm⁻³. The energy comes out at -70.2 eV for the cell shown.

It has space group Imm2 (No. 44), with a = 3.1753 Å, b = 4.4906 Å, c = 9.2108 Å, α = 90.00°, β = 90.00° and γ = 90.00°. The asymmetric unit holds Tc at (0.0000, 0.0000, 0.0000), Tc at (0.0000, 0.5000, 0.2268), Te at (0.0000, 0.5000, 0.7310) and W at (0.0000, 0.0000, 0.4755).

This record from Alexandria via LeMat-Bulk describes a relaxed Tc2TeW crystal. The functional is PBE.

The calculation puts the theoretical density at 12.507 g cm⁻³. The energy comes out at -34.9 eV for the cell shown.

It has space group Pm (No. 6), with a = 3.0570 Å, b = 4.1308 Å, c = 5.3357 Å, α = 90.00°, β = 90.75° and γ = 90.00°. The asymmetric unit holds Tc at (0.0000, 0.0000, 0.0000), Tc at (0.4665, 0.5000, 0.7029), Te at (0.5010, 0.5000, 0.2063) and W at (0.0260, 0.0000, 0.5145).

This record from Alexandria via LeMat-Bulk describes a relaxed TcTeW crystal. The functional is PBE.

The calculation puts the theoretical density at 12.032 g cm⁻³. The energy comes out at -99.1 eV for the cell shown.

It has space group Amm2 (No. 38), with a = 12.2934 Å, b = 3.2569 Å, c = 5.6451 Å, α = 90.00°, β = 90.00° and γ = 90.00°. The asymmetric unit holds Tc at (0.1425, 0.0000, 0.0000), Te at (0.3364, 0.0000, 0.6620), W at (0.0000, 0.0000, 0.3327) and W at (0.5000, 0.0000, 0.3290).

This record from Alexandria via LeMat-Bulk describes a relaxed Tc2TeW crystal. The functional is PBE.

The calculation puts the theoretical density at 12.894 g cm⁻³. The energy comes out at -69.4 eV for the cell shown.

It has space group I-4m2 (No. 119), with a = 3.8734 Å, b = 3.8734 Å, c = 8.7114 Å, α = 90.00°, β = 90.00° and γ = 90.00°. The asymmetric unit holds Tc at (0.0000, 0.0000, 0.0000), Tc at (0.0000, 0.5000, 0.2500), Te at (0.0000, 0.5000, 0.7500) and W at (0.0000, 0.0000, 0.5000).